The following is a GGA-PBE calculation of an optimized crystal structure of Ho2AgCl, from the Alexandria database.

Results
Density of states at the Fermi level: 0.499 states/eV per atom
Spin magnetization: 0.00 μB/f.u.
Raw formation energy: -131 kJ/mol of formula units
Symmetry: R-3m, No. 166

Cell: 3.349 3.349 10.539 Å, 80.86 80.86 60.00°
Fractional coordinates of all 4 atoms:
Ho1 0.906 0.906 0.282
Ho2 0.094 0.094 0.718
Cl1 0.500 0.500 0.500
Ag1 0.000 0.000 0.000